First-principles (GGA+U) data for a relaxed structure of MnGaPtO4, as listed in the Alexandria database.

## Properties
Volume in Å³ per atom: 12.1
Raw total energy in eV/atom: -6.21
Density in g/cm³: 7.55
Space group: No. 63

abc: 5.0517 5.0517 7.0156
angles: 90.00 90.00 109.41
Last column: nearest neighbours and their distance in Å.
Element x y z (fractional)
1 Mn 0.5000 0.5000 0.5000  2 O 1.95
2 Mn 0.5000 0.5000 0.0000  2 O 1.95
3 Ga 0.1418 0.8582 0.2500  4 O 1.85-1.88
4 Ga 0.8582 0.1418 0.7500  4 O 1.85-1.88
5 Pt 0.7763 0.2237 0.2500  2 O 1.99
6 Pt 0.2237 0.7763 0.7500  2 O 1.99
7 O 0.2528 0.2613 0.7500  1 Ga 1.88
8 O 0.7387 0.7472 0.7500  1 Ga 1.88
9 O 0.7348 0.2652 0.9701  1 Ga 1.85, 1 Mn 1.95, 1 Pt 1.99
10 O 0.7348 0.2652 0.5299  1 Ga 1.85, 1 Mn 1.95, 1 Pt 1.99
11 O 0.2652 0.7348 0.0299  1 Ga 1.85, 1 Mn 1.95, 1 Pt 1.99
12 O 0.2652 0.7348 0.4701  1 Ga 1.85, 1 Mn 1.95, 1 Pt 1.99
13 O 0.7472 0.7387 0.2500  1 Ga 1.88
14 O 0.2613 0.2528 0.2500  1 Ga 1.88